Hf2ZrHgN: optimized geometry, GGA-PBE.

a = 4.424 Å, b = 4.424 Å, c = 4.560 Å
α = 90.00°, β = 90.00°, γ = 90.00°
Atoms (fractional coordinates):
Hf: 0.000 0.500 0.000
Hf: 0.500 0.000 0.000
Zr: 0.000 0.000 0.500
Hg: 0.500 0.500 0.500
N: 0.000 0.000 0.000

Results
Its space-group type is P4/mmm (123). Its uncorrected formation energy is -0.78 eV per atom. The density of states at the Fermi level comes out at 3.201 states/eV/f.u.